[1]
This record from Alexandria describes a relaxed La4Ho3Tm crystal. The functional is PBE.

Structure (CIF):
```
data_La4Ho3Tm
_chemical_formula_sum 'La8 Ho6 Tm2'
_cell_length_a 5.142
_cell_length_b 10.284
_cell_length_c 10.235
_cell_angle_alpha 90.00
_cell_angle_beta 90.00
_cell_angle_gamma 90.00
_symmetry_space_group_name_H-M 'P m m n'
_symmetry_Int_Tables_number 59
loop_
_symmetry_equiv_pos_as_xyz
'x,y,z'
'-x,-y,-z'
'-x+1/2,-y+1/2,z'
'x+1/2,y+1/2,-z'
'x+1/2,-y,-z'
'-x+1/2,y,z'
'-x,y+1/2,-z'
'x,-y+1/2,z'
loop_
_atom_site_label
_atom_site_type_symbol
_atom_site_fract_x
_atom_site_fract_y
_atom_site_fract_z
La1 La 0.250 0.000 0.128
La2 La 0.250 0.250 0.872
La3 La 0.250 0.750 0.872
Ho1 Ho 0.250 0.000 0.616
Ho2 Ho 0.250 0.250 0.384
Tm1 Tm 0.250 0.750 0.384
```

Summary:
E_tot = -4.707 eV per atom

[2]
This record from Alexandria describes a relaxed CaLaMg2Cl crystal. The functional is PBE.

Structure (CIF):
```
data_CaLaMg2Cl
_chemical_formula_sum 'Ca1 La1 Mg2 Cl1'
_cell_length_a 5.372
_cell_length_b 5.372
_cell_length_c 5.542
_cell_angle_alpha 90.00
_cell_angle_beta 90.00
_cell_angle_gamma 90.00
_symmetry_space_group_name_H-M 'P 4/m m m'
_symmetry_Int_Tables_number 123
_symmetry_space_group_name_Hall '-P 4 2'
loop_
_atom_site_label
_atom_site_type_symbol
_atom_site_fract_x
_atom_site_fract_y
_atom_site_fract_z
Ca1 Ca 0.000 0.000 0.000
La1 La 0.500 0.500 0.000
Mg1 Mg 0.000 0.500 0.500
Cl1 Cl 0.500 0.500 0.500
```

Summary:
energy relative to the elements, uncorrected = -0.275 eV/atom
E_tot = -2.668 eV per atom

[3]
This record from Alexandria describes a relaxed Tb2HoSn crystal. The functional is PBE.

Structure (CIF):
```
data_Tb2HoSn
_chemical_formula_sum 'Tb4 Ho2 Sn2'
_cell_length_a 4.700
_cell_length_b 4.700
_cell_length_c 10.218
_cell_angle_alpha 90.00
_cell_angle_beta 90.00
_cell_angle_gamma 90.00
_symmetry_space_group_name_H-M 'I -4 m 2'
_symmetry_Int_Tables_number 119
_symmetry_space_group_name_Hall 'I -4 -2'
loop_
_atom_site_label
_atom_site_type_symbol
_atom_site_fract_x
_atom_site_fract_y
_atom_site_fract_z
Tb1 Tb 0.000 0.000 0.000
Tb2 Tb 0.000 0.500 0.250
Ho1 Ho 0.000 0.000 0.500
Sn1 Sn 0.000 0.500 0.750
```

Summary:
energy above the lowest structure with this stoichiometry = 0.13 eV per formula unit
E_tot = -4.851 eV per atom

no.,magnetic moment (μB/f.u.)
1,0.0
2,0.0
3,0.0